1.
Density functional theory data (PBE-GGA) for BaPr4In5 after structural relaxation.

- Crystal system: tetragonal
- Raw total energy: -3.939 eV per atom
- Total magnetization: 0.000 Bohr magnetons per cell

The structure in CIF format:
```
data_BaPr4In5
_chemical_formula_sum 'Ba1 Pr4 In5'
_cell_length_a 3.9700
_cell_length_b 3.9700
_cell_length_c 19.9425
_cell_angle_alpha 90.00
_cell_angle_beta 90.00
_cell_angle_gamma 90.00
_space_group_name_H-M_alt 'P 4/m m m'
_space_group_IT_number 123
_space_group_name_Hall '-P 4 2'
loop_
_atom_site_label
_atom_site_type_symbol
_atom_site_fract_x
_atom_site_fract_y
_atom_site_fract_z
Ba1 Ba 0.0000 0.0000 0.0000
Pr1 Pr 0.0000 0.0000 0.2115
Pr2 Pr 0.0000 0.0000 0.4043
In1 In 0.5000 0.5000 0.1205
In2 In 0.5000 0.5000 0.3088
In3 In 0.5000 0.5000 0.5000
```


2.
Density functional theory data (PBE-GGA) for Ti5MnFe6 after structural relaxation.

- Crystal system: orthorhombic
- Raw total energy: -8.594 eV per atom
- Total magnetization: 7.411 Bohr magnetons per cell

The structure in CIF format:
```
data_Ti5MnFe6
_chemical_formula_sum 'Ti10 Mn2 Fe12'
_cell_length_a 4.1476
_cell_length_b 5.8787
_cell_length_c 12.4211
_cell_angle_alpha 90.00
_cell_angle_beta 90.00
_cell_angle_gamma 90.00
_space_group_name_H-M_alt 'I m m m'
_space_group_IT_number 71
_space_group_name_Hall '-I 2 2'
loop_
_atom_site_label
_atom_site_type_symbol
_atom_site_fract_x
_atom_site_fract_y
_atom_site_fract_z
Ti1 Ti 0.0000 0.0000 0.0000
Ti2 Ti 0.0000 0.0000 0.3405
Ti3 Ti 0.0000 0.5000 0.3309
Mn1 Mn 0.0000 0.5000 0.0000
Fe1 Fe 0.0000 0.2493 0.1668
Fe2 Fe 0.0000 0.2543 0.5000
```